## TbNdUO6 (PBE)

Data for a relaxed structure of TbNdUO6.

Uncorrected formation energy = -3322 meV/atom
D(E_F) = 0.000 states/eV/atom
Electronic total energy = -8.926 eV per atom

a = 5.8432 Å, b = 5.8432 Å, c = 9.6848 Å
α = 90.00°, β = 90.00°, γ = 120.00°
Sites, in units of the cell vectors:
Tb (0.3333, 0.6667, 0.2500)
Tb (0.6667, 0.3333, 0.7500)
Nd (0.0000, 0.0000, 0.0000)
Nd (0.0000, 0.0000, 0.5000)
U (0.6667, 0.3333, 0.2500)
U (0.3333, 0.6667, 0.7500)
O (0.6621, 0.6376, 0.1368)
O (0.9754, 0.3379, 0.1368)
O (0.3379, 0.9754, 0.6368)
O (0.0246, 0.6621, 0.8632)
O (0.3624, 0.3379, 0.3632)
O (0.9754, 0.6376, 0.3632)
O (0.6376, 0.9754, 0.8632)
O (0.6621, 0.0246, 0.3632)
O (0.0246, 0.3624, 0.6368)
O (0.3624, 0.0246, 0.1368)
O (0.6376, 0.6621, 0.6368)
O (0.3379, 0.3624, 0.8632)